{
  "formula": "Hf2RuN2",
  "functional": "PBE",
  "state": "relaxed",
  "lattice_angstrom": [[-4.641, 4.272, 0.345], [-0.843, -1.409, 6.100], [2.017, 2.129, 0.771]],
  "species": ["Ru", "Ru", "Hf", "Hf", "Hf", "Hf", "N", "N", "N", "N"],
  "frac_coords": [[0.000, 0.000, 0.000], [0.500, 0.500, 0.000], [0.165, 0.665, 0.500], [0.665, 0.835, 0.500], [0.835, 0.335, 0.500], [0.335, 0.165, 0.500], [0.348, 0.848, 0.000], [0.848, 0.652, 0.000], [0.652, 0.152, 0.000], [0.152, 0.348, 0.000]],
  "vol_a3_per_fu": 60.5,
  "n_ef_per_ev_fu": 5.84,
  "e_form_raw_ev_per_atom": -0.752,
  "magmom_total_mub_per_cell": 0.77,
  "relative_energy_mev_per_atom": 87,
  "energy_ev_per_fu": -49.59
}